CdAsPt5 (GGA-PBE, optimized geometry); symmetry = P4/mmm (123); calculated volume = 118 Å³/cell; final energy = -5.3675 eV/atom
1.0
4.019 0.000 0.000
0.000 4.019 0.000
0.000 0.000 7.290
As Cd Pt
1 1 5
Cartesian
0.000 0.000 3.645
2.010 2.010 0.000
0.000 0.000 0.000
2.010 0.000 2.091
0.000 2.010 2.091
2.010 0.000 5.199
0.000 2.010 5.199


ErB4Pb (GGA-PBE, optimized geometry); symmetry = Immm (71); relative energy among the computed polymorphs = 24 meV/atom; calculated volume = 74 Å³/cell; final energy = -5.7799 eV/atom
1.0
0.594 -5.014 -1.529
-4.840 -2.024 -0.561
3.381 3.613 -1.829
B Er Pb
4 1 1
Cartesian
0.282 -2.159 -1.608
-2.508 -0.786 -1.160
1.643 -2.639 -2.758
-1.147 -1.265 -2.311
-2.123 -3.519 -1.045
0.000 0.000 0.000


CsNi2H3 (GGA-PBE, optimized geometry); symmetry = P-3m1 (164); calculated volume = 67 Å³/cell; final energy = -3.2573 eV/atom
1.0
-2.754 1.483 0.016
0.595 -2.170 -2.173
-2.955 -5.535 4.719
Cs H Ni
1 3 2
Cartesian
0.000 0.000 0.000
-1.438 -2.669 0.020
-1.477 -2.768 2.360
-3.676 -3.553 2.542
-2.770 -1.857 1.096
-2.343 -4.365 1.467


ZrFeBi2 (GGA-PBE, optimized geometry); symmetry = F-43m (216); calculated volume = 94 Å³/cell; final energy = -5.8238 eV/atom
1.0
0.000 3.610 3.610
3.610 0.000 3.610
3.610 3.610 0.000
Bi Fe Zr
2 1 1
Cartesian
0.000 0.000 0.000
5.415 5.415 5.415
1.805 1.805 1.805
3.610 3.610 3.610


BaHoCu (GGA-PBE, optimized geometry); symmetry = F-43m (216); relative energy among the computed polymorphs = 0 meV/atom; calculated volume = 100 Å³/cell; final energy = -3.0929 eV/atom
1.0
2.619 0.771 4.439
-2.328 2.355 4.023
-1.233 -2.734 4.261
Ba Cu Ho
1 1 1
Cartesian
-0.236 0.098 3.181
0.000 0.000 0.000
-0.707 0.294 9.542


SmYF3 (GGA-PBE, optimized geometry); symmetry = C2/m (12); calculated volume = 168 Å³/cell; final energy = -6.4709 eV/atom
1.0
6.390 -1.807 0.000
6.390 1.807 0.000
-2.523 0.000 7.294
F Sm Y
6 2 2
Cartesian
2.455 0.000 0.595
11.315 0.000 2.105
3.024 0.000 3.242
7.232 0.000 4.052
-1.058 0.000 5.189
7.802 0.000 6.699
0.876 0.000 2.339
9.381 0.000 4.955
4.893 0.000 0.625
5.363 0.000 6.669


LuNiIr (GGA-PBE, optimized geometry); symmetry = F-43m (216); calculated volume = 58 Å³/cell; final energy = -6.4154 eV/atom; calculated formation energy = -0.30 eV per formula unit
1.0
-2.203 1.356 3.496
-0.426 4.256 0.785
-3.871 1.922 -0.480
Ir Lu Ni
1 1 1
Cartesian
0.000 0.000 0.000
-1.625 1.884 0.950
-4.875 5.651 2.851


Te4Pd9 (GGA-PBE, optimized geometry); symmetry = P2_1/c (14); calculated volume = 948 Å³/cell; final energy = -4.8737 eV/atom
1.0
-1.502 7.299 0.972
-5.563 -2.827 12.631
8.093 0.849 3.754
Pd Te
36 16
Cartesian
-2.004 4.328 5.141
-0.696 3.137 2.775
0.380 0.521 1.308
-2.910 1.879 7.970
-1.384 1.496 5.397
-4.723 0.259 12.933
-3.645 3.849 10.187
-3.284 -2.277 11.693
-2.333 -0.590 9.349
0.218 5.946 4.079
-1.054 6.503 6.783
1.231 1.355 3.920
-0.540 3.497 7.643
-2.869 2.773 12.885
1.982 4.080 2.761
-1.342 5.421 9.502
-1.226 2.317 10.215
-1.812 0.163 12.150
2.840 5.158 5.206
2.254 3.004 7.141
2.371 -0.100 7.854
-0.954 1.241 14.596
3.898 2.548 4.471
1.568 1.824 9.713
-0.203 3.966 13.437
2.082 -1.182 10.574
0.810 -0.625 13.278
3.361 5.911 8.008
4.312 7.598 5.664
4.673 1.472 7.169
5.752 5.062 4.424
2.412 3.825 11.959
3.938 3.442 9.386
0.648 4.800 16.049
1.724 2.184 14.581
3.033 0.993 12.215
-0.912 -0.386 3.468
-3.139 4.512 7.571
-3.764 1.261 10.608
0.045 5.546 1.325
-0.328 0.741 7.942
0.604 3.564 5.191
2.840 1.767 1.734
-2.126 5.273 12.056
3.154 0.048 5.300
-1.812 3.554 15.623
0.424 1.757 12.166
1.356 4.580 9.414
0.983 -0.225 16.031
4.792 4.059 6.748
4.167 0.809 9.785
1.940 5.707 13.889


HfUW (GGA-PBE, optimized geometry); symmetry = F-43m (216); relative energy among the computed polymorphs = 0 meV/atom; calculated volume = 69 Å³/cell; final energy = -10.7273 eV/atom; calculated formation energy = 2.03 eV per formula unit
1.0
0.000 3.261 3.261
3.261 0.000 3.261
3.261 3.261 0.000
Hf U W
1 1 1
Cartesian
0.000 0.000 0.000
3.261 3.261 3.261
1.631 1.631 1.631


TmLu2Cu4Si2Ge2 (GGA-PBE, optimized geometry); symmetry = Immm (71); relative energy among the computed polymorphs = 0 meV/atom; calculated volume = 182 Å³/cell; final energy = -5.0346 eV/atom
1.0
-2.038 3.284 6.809
2.038 -3.284 6.809
2.038 3.284 -6.809
Cu Ge Lu Si Tm
4 2 2 2 1
Cartesian
0.000 2.024 4.430
0.000 2.024 9.188
2.038 1.260 -2.379
2.038 1.260 2.379
0.000 1.270 6.809
2.038 2.013 0.000
0.000 3.284 1.759
2.038 0.000 5.050
0.000 0.000 2.955
0.000 0.000 10.663
0.000 0.000 0.000


HfZrSi2 (GGA-PBE, optimized geometry); symmetry = F-43m (216); relative energy among the computed polymorphs = 1001 meV/atom; calculated volume = 71 Å³/cell; final energy = -7.2142 eV/atom
1.0
0.000 3.286 3.286
3.286 0.000 3.286
3.286 3.286 0.000
Hf Si Zr
1 2 1
Cartesian
3.286 3.286 3.286
0.000 0.000 0.000
1.643 1.643 1.643
4.929 4.929 4.929


TcSn2Hg (GGA-PBE, optimized geometry); symmetry = F-43m (216); calculated volume = 86 Å³/cell; final energy = -4.0023 eV/atom
1.0
0.000 3.505 3.505
3.505 0.000 3.505
3.505 3.505 0.000
Hg Sn Tc
1 2 1
Cartesian
3.505 3.505 3.505
0.000 0.000 0.000
5.258 5.258 5.258
1.753 1.753 1.753


NaLuBAu (GGA-PBE, optimized geometry); symmetry = F-43m (216); relative energy among the computed polymorphs = 125 meV/atom; calculated volume = 67 Å³/cell; final energy = -3.6162 eV/atom
1.0
-1.268 -3.181 -3.003
-3.680 0.662 -2.601
0.475 0.765 -4.465
Au B Lu Na
1 1 1 1
Cartesian
-3.355 -1.315 -7.552
-2.236 -0.877 -5.035
0.000 0.000 0.000
-1.118 -0.438 -2.517


Dy2Y2CI5 (GGA-PBE, optimized geometry); symmetry = C2/m (12); calculated volume = 318 Å³/cell; final energy = -5.0146 eV/atom
1.0
-1.033 8.062 5.394
-4.808 6.942 4.882
0.997 -6.090 5.974
C Dy I Y
1 2 5 2
Cartesian
-2.920 7.502 5.138
-5.649 13.843 11.403
0.806 -4.930 4.847
-4.685 11.408 9.617
-0.617 0.384 3.713
-2.422 4.457 8.125
-4.227 8.529 12.537
-0.158 -2.495 6.633
-3.610 9.046 6.846
-1.234 -0.133 9.404


SmHoIn2 (GGA-PBE, optimized geometry); symmetry = P4/mmm (123); relative energy among the computed polymorphs = 0 meV/atom; calculated volume = 108 Å³/cell; final energy = -4.1656 eV/atom
1.0
-1.812 -2.897 1.616
3.188 -1.010 1.762
-1.836 4.414 5.854
Ho In Sm
1 2 1
Cartesian
0.688 -1.954 1.689
-0.442 1.063 1.410
-1.394 3.351 4.443
-0.230 0.253 4.616


NpB4Ir4 (GGA-PBE, optimized geometry); symmetry = P4_2/n (86); calculated volume = 232 Å³/cell; final energy = -8.7108 eV/atom
1.0
-5.327 3.071 4.610
-5.073 -5.274 -2.349
1.139 -2.390 2.907
B Ir Np
8 8 2
Cartesian
-2.816 -1.391 0.561
-7.327 -1.353 2.359
-1.815 -0.906 2.024
-7.704 -3.147 2.488
-5.190 -0.322 5.028
-3.814 -4.811 0.799
-3.630 -1.293 5.075
-4.751 -5.149 2.344
-6.316 0.233 3.269
-3.825 -2.979 -0.346
-3.642 0.542 3.926
-5.878 -4.592 0.582
-1.587 -2.911 1.492
-7.416 -2.225 4.338
-1.905 -1.776 4.000
-6.477 -4.664 3.416
0.000 0.000 0.000
-4.631 -2.296 2.585


CsAcZn (GGA-PBE, optimized geometry); symmetry = F-43m (216); relative energy among the computed polymorphs = 154 meV/atom; calculated volume = 119 Å³/cell; final energy = -1.1980 eV/atom
1.0
0.000 3.908 3.908
3.908 0.000 3.908
3.908 3.908 0.000
Ac Cs Zn
1 1 1
Cartesian
1.954 1.954 1.954
0.000 0.000 0.000
5.861 5.861 5.861


ZnCoTcSn (GGA-PBE, optimized geometry); symmetry = F-43m (216); relative energy among the computed polymorphs = 0 meV/atom; calculated volume = 59 Å³/cell; final energy = -5.5280 eV/atom
1.0
0.000 3.094 3.094
3.094 0.000 3.094
3.094 3.094 0.000
Co Sn Tc Zn
1 1 1 1
Cartesian
4.641 4.641 4.641
0.000 0.000 0.000
1.547 1.547 1.547
3.094 3.094 3.094


TbMgCuTe3 (GGA-PBE, optimized geometry); symmetry = Pnma (62); relative energy among the computed polymorphs = 45 meV/atom; calculated volume = 631 Å³/cell; final energy = -3.9884 eV/atom
1.0
4.164 0.000 0.000
0.000 12.188 0.000
0.000 0.000 12.438
Cu Mg Tb Te
4 4 4 12
Cartesian
1.041 9.552 3.005
3.123 3.458 3.214
1.041 8.730 9.224
3.123 2.636 9.433
3.123 11.704 2.730
1.041 5.610 3.489
3.123 6.577 8.949
1.041 0.484 9.708
3.123 8.442 0.582
1.041 2.348 5.637
3.123 9.840 6.801
1.041 3.746 11.856
1.041 10.705 0.715
3.123 5.266 1.257
1.041 1.999 2.508
3.123 8.093 3.711
1.041 11.360 4.962
3.123 4.611 5.504
1.041 7.576 6.934
3.123 0.828 7.476
1.041 4.095 8.727
3.123 10.189 9.930
1.041 6.922 11.181
3.123 1.483 11.723


TaN (GGA-PBE, optimized geometry); symmetry = Pmma (51); calculated volume = 99 Å³/cell; final energy = -10.7462 eV/atom
1.0
5.924 0.000 0.000
0.000 3.194 0.000
0.000 0.000 5.252
N Ta
4 4
Cartesian
4.443 1.597 1.018
1.481 0.000 2.150
4.443 0.000 3.102
1.481 1.597 4.234
1.481 0.000 0.145
0.000 1.597 2.626
2.962 1.597 2.626
4.443 0.000 5.106